# Tb3InNi | Alexandria via LeMat-Bulk | PBE-GGA | relaxed
# ρ, g/cm3: 7.65
# Uncorrected energy, eV per atom: -4.696
# Spin magnetization, μB per atom: 0.000
# Calculated volume, A^3/atom: 28.2
# Polymorph energy (0 for the lowest one), kcal/mol of atoms: 2.623
# Calculated formation energy, eV/f.u.: -1.07
data_Tb3InNi
_chemical_formula_sum 'Tb3 In1 Ni1'
_cell_length_a 5.206
_cell_length_b 5.206
_cell_length_c 5.206
_cell_angle_alpha 90.00
_cell_angle_beta 90.00
_cell_angle_gamma 90.00
_symmetry_space_group_name_H-M 'P m -3 m'
_symmetry_Int_Tables_number 221
_symmetry_space_group_name_Hall '-P 4 2 3'
loop_
_atom_site_label
_atom_site_fract_x
_atom_site_fract_y
_atom_site_fract_z
Tb1 0.000 0.000 0.500
In1 0.500 0.500 0.500
Ni1 0.000 0.000 0.000